{
  "formula": "GaFe2PbO6",
  "functional": "PBE+U",
  "state": "relaxed",
  "lattice": [[5.2012, 0.0000, 0.0000], [-2.5846, 4.5570, 0.0000], [-2.5982, -1.5202, 4.7594]],
  "species": ["Ga", "Fe", "Fe", "Pb", "O", "O", "O", "O", "O", "O"],
  "fractional_positions": [[0.0000, 0.0000, 0.0000], [0.5792, 0.7915, 0.3677], [0.6112, 0.3084, 0.9163], [0.0236, 0.5149, 0.5349], [0.0757, 0.6963, 0.1715], [0.1202, 0.9453, 0.7058], [0.4746, 0.3830, 0.1686], [0.5301, 0.5900, 0.7063], [0.7630, 0.1823, 0.7026], [0.7925, 0.0991, 0.1715]],
  "magnetic_moment_mub_per_fu": 5.01,
  "dos_at_fermi_per_ev_cell": 2.0,
  "dft_energy_ev_per_cell": -59.584
}